Record 1
This record from the Alexandria database describes a relaxed structure of Pr2AgPO6. The functional is GGA-PBE.

Output
formation energy from raw total energies: -222 kJ/mol of atoms
calculated density: 6.1 g/cm³

a = 5.4039 Å, b = 5.4039 Å, c = 4.8176 Å
α = 90.00°, β = 90.00°, γ = 90.00°
With the nearest neighbours (Å) after each atom.
Sites, in units of the cell vectors:
1 Pr 0.0000 0.5000 0.0000  4 O 2.39
2 Pr 0.5000 0.0000 0.0000  4 O 2.39
3 Ag 0.0000 0.0000 0.4974  1 O 2.12
4 P 0.5000 0.5000 0.6098  5 O 1.59-1.68
5 O 0.0000 0.0000 0.0569  1 Ag 2.12
6 O 0.2894 0.2894 0.7095  1 P 1.68
7 O 0.2894 0.7106 0.7095  1 P 1.68
8 O 0.5000 0.5000 0.2792  1 P 1.59
9 O 0.7106 0.2894 0.7095  1 P 1.68
10 O 0.7106 0.7106 0.7095  1 P 1.68

---

Record 2
This record from the Alexandria database describes a relaxed structure of AgP2PtO. The functional is GGA-PBE.

Output
excess energy over the best structure of this formula in the dataset: 0.0 meV per atom
formation energy from raw total energies: 50 kJ/mol of atoms
calculated density: 7.0 g/cm³

a = 4.8977 Å, b = 4.8977 Å, c = 3.7571 Å
α = 90.00°, β = 90.00°, γ = 90.00°
With the nearest neighbours (Å) after each atom.
Sites, in units of the cell vectors:
1 Ag 0.0000 0.0000 0.0000  8 P 3.09
2 P 0.0000 0.5000 0.5000  2 Pt 2.45
3 P 0.5000 0.0000 0.5000  2 Pt 2.45
4 Pt 0.5000 0.5000 0.5000  2 O 1.88
5 O 0.5000 0.5000 0.0000  2 Pt 1.88